# ThZnGa2

A relaxed structure of ThZnGa2 (PBE-GGA, Alexandria).

Values from the calculation:
calculated total energy = -16.269 eV per cell

Cell lengths 4.2937, 4.2937, 5.8041 Å; angles 68.29, 68.29, 60.00 degrees
Positions (direct):
Th (0.0000, 0.0000, 0.0000)
Ga (0.2174, 0.2174, 0.3479)
Ga (0.7826, 0.7826, 0.6521)
Zn (0.5000, 0.5000, 0.5000)

# ThZnGa5

A relaxed structure of ThZnGa5 (PBE-GGA, Alexandria).

Values from the calculation:
calculated total energy = -25.541 eV per cell

Cell lengths 4.5412, 4.5412, 6.9435 Å; angles 90.00, 90.00, 90.00 degrees
Positions (direct):
Zn (0.0000, 0.0000, 0.5000)
Ga (0.0000, 0.5000, 0.6969)
Ga (0.5000, 0.5000, 0.0000)
Ga (0.5000, 0.0000, 0.3031)
Ga (0.5000, 0.0000, 0.6969)
Th (0.0000, 0.0000, 0.0000)
Ga (0.0000, 0.5000, 0.3031)

The lowest calculated total energy belongs to which entry?
ThZnGa5

Which value of calculated total energy does entry 1 give?
-16.269 eV per cell